Computed, not measured: a geometry-optimized Ac2Nb2Ge2C structure at the GGA-PBE level of DFT.

Values from the calculation:
Total energy, eV per cell: -50.5
M_tot, μB/f.u.: 0.0
Crystal system: tetragonal
Formation energy from the elements, meV/atom: -528
Calculated density, g/cm3: 8.187

a b c (Å): 8.975 8.975 8.975
angles (deg): 151.75 151.75 40.38
Positions (direct):
Ac: 0.165 0.165 0.000
Ac: 0.835 0.835 0.000
Nb: 0.000 0.500 0.500
Nb: 0.500 0.000 0.500
Ge: 0.390 0.390 0.000
Ge: 0.610 0.610 0.000
C: 0.000 0.000 0.000